(1)
Compound: Cd2W2C
Source: Alexandria
Functional: PBE
Structure: optimized geometry

Properties
formation energy = 2.07 eV per formula unit
space-group type = No. 127
DFT total energy = -6.98 eV/atom

Unit cell a=5.6961 b=5.6961 c=5.0852 alpha=90.00 beta=90.00 gamma=90.00
Fractional positions:
C  0.5000  0.5000  0.0000
C  0.0000  0.0000  0.0000
W  0.1699  0.3301  0.0000
W  0.3301  0.8301  0.0000
W  0.8301  0.6699  0.0000
W  0.6699  0.1699  0.0000
Cd  0.3315  0.1685  0.5000
Cd  0.6685  0.8315  0.5000
Cd  0.1685  0.6685  0.5000
Cd  0.8315  0.3315  0.5000

---

(2)
Compound: Y3CdC
Source: Alexandria
Functional: PBE
Structure: optimized geometry

Properties
formation energy = 0.97 eV per formula unit
space-group type = No. 119
DFT total energy = -5.71 eV/atom

Unit cell a=6.7406 b=6.7406 c=7.7688 alpha=64.29 beta=64.29 gamma=90.00
Site moments in Bohr magnetons follow the coordinates.
Fractional positions:
Y  0.1393  0.8849  0.2303  0.06
Y  0.6304  0.8849  0.2303  0.07
Y  0.1151  0.3696  0.7697  0.06
Y  0.1151  0.8607  0.7697  0.06
Y  0.6322  0.6322  0.7356  0.27
Y  0.3678  0.3678  0.2644  0.28
Cd  0.6266  0.1266  0.7469  0.01
Cd  0.8734  0.3734  0.2531  0.02
C  0.0000  0.0000  0.0000  0.02
C  0.2500  0.7500  0.5000  -0.01

---

(3)
Compound: Y3CdC
Source: Alexandria
Functional: PBE
Structure: optimized geometry

Properties
formation energy = -1.30 eV per formula unit
space-group type = No. 14
DFT total energy = -6.17 eV/atom

Unit cell a=25.4057 b=6.3691 c=9.8521 alpha=90.00 beta=162.40 gamma=90.00
Fractional positions:
Y  0.9053  0.6158  0.0674
Y  0.5947  0.1158  0.4326
Y  0.2887  0.9273  0.9361
Y  0.8585  0.0782  0.7683
Y  0.6415  0.5782  0.7317
Y  0.7113  0.0727  0.0639
Y  0.0947  0.3842  0.9326
Y  0.3585  0.4218  0.2683
Y  0.2113  0.4273  0.5639
Y  0.4053  0.8842  0.5674
Y  0.7887  0.5727  0.4361
Y  0.1415  0.9218  0.2317
Cd  0.4963  0.6721  0.0771
Cd  0.5037  0.3279  0.9229
Cd  0.0037  0.1721  0.4229
Cd  0.9963  0.8279  0.5771
C  0.0301  0.7496  0.1679
C  0.4699  0.2496  0.3321
C  0.5301  0.7504  0.6679
C  0.9699  0.2504  0.8321

---

(4)
Compound: Y3CdC
Source: Alexandria
Functional: PBE
Structure: optimized geometry

Properties
formation energy = 0.60 eV per formula unit
space-group type = No. 194
DFT total energy = -5.79 eV/atom

Unit cell a=5.0550 b=5.0550 c=10.0762 alpha=90.00 beta=90.00 gamma=120.00
Fractional positions:
Cd  0.3333  0.6667  0.7500
Cd  0.6667  0.3333  0.2500
Y  0.0000  0.0000  0.7500
Y  0.3333  0.6667  0.0587
Y  0.6667  0.3333  0.9413
Y  0.0000  0.0000  0.2500
Y  0.6667  0.3333  0.5587
Y  0.3333  0.6667  0.4413
C  0.0000  0.0000  0.5000
C  0.0000  0.0000  0.0000

---

(5)
Compound: Y3CdC
Source: Alexandria
Functional: PBE
Structure: optimized geometry

Properties
formation energy = 0.02 eV per formula unit
space-group type = No. 38
DFT total energy = -5.90 eV/atom

Unit cell a=3.4947 b=6.2913 c=6.2913 alpha=80.92 beta=90.00 gamma=90.00
Fractional positions:
C  0.0000  0.4903  0.5097
Cd  0.5000  0.8786  0.1214
Y  0.0000  0.2069  0.7931
Y  0.5000  0.3529  0.3007
Y  0.5000  0.6993  0.6471

---

(6)
Compound: Y3Cd3C
Source: Alexandria
Functional: PBE
Structure: optimized geometry

Properties
formation energy = -2.62 eV per formula unit
space-group type = No. 227
DFT total energy = -4.86 eV/atom

Unit cell a=9.5964 b=9.5964 c=9.5964 alpha=60.00 beta=60.00 gamma=60.00
Fractional positions:
Y  0.8102  0.1898  0.8102
Y  0.1898  0.8102  0.8102
Y  0.8102  0.1898  0.1898
Y  0.0602  0.0602  0.4398
Y  0.4398  0.0602  0.4398
Y  0.4398  0.0602  0.0602
Y  0.0602  0.4398  0.4398
Y  0.1898  0.1898  0.8102
Y  0.0602  0.4398  0.0602
Y  0.8102  0.8102  0.1898
Y  0.1898  0.8102  0.1898
Y  0.4398  0.4398  0.0602
C  0.1250  0.6250  0.1250
C  0.1250  0.1250  0.1250
C  0.1250  0.1250  0.6250
C  0.6250  0.1250  0.1250
Cd  0.8327  0.5020  0.8327
Cd  0.1250  0.6250  0.6250
Cd  0.4173  0.4173  0.4173
Cd  0.6250  0.1250  0.6250
Cd  0.5020  0.8327  0.8327
Cd  0.8327  0.8327  0.8327
Cd  0.6250  0.6250  0.6250
Cd  0.4173  0.4173  0.7480
Cd  0.8327  0.8327  0.5020
Cd  0.6250  0.6250  0.1250
Cd  0.4173  0.7480  0.4173
Cd  0.7480  0.4173  0.4173

---

(7)
Compound: Y2Cd2C
Source: Alexandria
Functional: PBE
Structure: optimized geometry

Properties
formation energy = -1.31 eV per formula unit
space-group type = No. 166
DFT total energy = -5.06 eV/atom

Unit cell a=3.5934 b=3.5934 c=10.4941 alpha=80.14 beta=80.14 gamma=60.00
Fractional positions:
Y  0.3771  0.3771  0.8687
Y  0.6229  0.6229  0.1313
Cd  0.8702  0.8702  0.3894
Cd  0.1298  0.1298  0.6106
C  0.0000  0.0000  0.0000

---

(8)
Compound: Y3CdC
Source: Alexandria
Functional: PBE
Structure: optimized geometry

Properties
formation energy = -0.26 eV per formula unit
space-group type = No. 194
DFT total energy = -5.96 eV/atom

Unit cell a=4.1274 b=4.1274 c=18.3601 alpha=90.00 beta=90.00 gamma=120.00
Site moments in Bohr magnetons follow the coordinates.
Fractional positions:
Y  0.6667  0.3333  0.3816  0.07
Y  0.0000  0.0000  0.2500  0.02
Y  0.3333  0.6667  0.6184  0.07
Y  0.0000  0.0000  0.7500  0.02
Y  0.3333  0.6667  0.8816  0.06
Y  0.6667  0.3333  0.1184  0.06
Cd  0.0000  0.0000  0.5000  0.00
Cd  0.0000  0.0000  0.0000  0.00
C  0.3333  0.6667  0.7500  0.00
C  0.6667  0.3333  0.2500  0.00

---

(9)
Compound: Y3CdC
Source: Alexandria
Functional: PBE
Structure: optimized geometry

Properties
formation energy = -1.70 eV per formula unit
space-group type = No. 167
DFT total energy = -6.25 eV/atom

Unit cell a=6.9789 b=6.9789 c=6.9789 alpha=59.95 beta=59.95 gamma=59.95
Fractional positions:
Y  0.2900  0.7463  0.2027
Y  0.2027  0.2900  0.7463
Y  0.7027  0.2463  0.7900
Y  0.2463  0.7900  0.7027
Y  0.7900  0.7027  0.2463
Y  0.7463  0.2027  0.2900
Cd  0.7463  0.7463  0.7463
Cd  0.2463  0.2463  0.2463
C  0.4964  0.4964  0.4964
C  0.9964  0.9964  0.9964

---

(10)
Compound: Y6Cd2C
Source: Alexandria
Functional: PBE
Structure: optimized geometry

Properties
formation energy = -2.65 eV per formula unit
space-group type = No. 12
DFT total energy = -5.83 eV/atom

Unit cell a=6.9892 b=6.9930 c=9.8173 alpha=90.00 beta=89.93 gamma=90.00
Fractional positions:
Y  0.5697  0.5000  0.2440
Y  0.2435  0.2447  0.4644
Y  0.7432  0.7450  0.9644
Y  0.2565  0.7447  0.0356
Y  0.7568  0.2450  0.5356
Y  0.0697  0.0000  0.7440
Y  0.4303  0.5000  0.7560
Y  0.9303  0.0000  0.2560
Y  0.2432  0.7550  0.4644
Y  0.2568  0.2550  0.0356
Y  0.7565  0.7553  0.5356
Y  0.7435  0.2553  0.9644
Cd  0.4949  0.9998  0.2488
Cd  0.5051  0.0002  0.7512
Cd  0.9949  0.5002  0.7488
Cd  0.0051  0.4998  0.2512
C  0.0000  0.0000  0.5000
C  0.5000  0.5000  0.0000

---

(11)
Compound: Y3CdC
Source: Alexandria
Functional: PBE
Structure: optimized geometry

Properties
formation energy = 0.54 eV per formula unit
space-group type = No. 62
DFT total energy = -5.80 eV/atom

Unit cell a=6.8569 b=9.3512 c=8.1870 alpha=90.00 beta=90.00 gamma=90.00
Fractional positions:
Cd  0.0000  0.5000  0.5000
Cd  0.0000  0.0000  0.5000
Cd  0.5000  0.0000  0.0000
Cd  0.5000  0.5000  0.0000
Y  0.5849  0.9206  0.6473
Y  0.0849  0.5794  0.8527
Y  0.7862  0.2500  0.7299
Y  0.0849  0.9206  0.8527
Y  0.5849  0.5794  0.6473
Y  0.2138  0.7500  0.2701
Y  0.4151  0.4206  0.3527
Y  0.4151  0.0794  0.3527
Y  0.9151  0.4206  0.1473
Y  0.2862  0.2500  0.7701
Y  0.7138  0.7500  0.2299
Y  0.9151  0.0794  0.1473
C  0.9895  0.7500  0.0416
C  0.5105  0.2500  0.5416
C  0.0105  0.2500  0.9584
C  0.4895  0.7500  0.4584

---

(12)
Compound: Y3CdC
Source: Alexandria
Functional: PBE
Structure: optimized geometry

Properties
formation energy = 0.91 eV per formula unit
space-group type = No. 167
DFT total energy = -5.72 eV/atom

Unit cell a=6.2641 b=6.2641 c=6.2641 alpha=89.37 beta=89.37 gamma=89.37
Fractional positions:
Y  0.4899  0.7500  0.0101
Y  0.9899  0.5101  0.2500
Y  0.7500  0.0101  0.4899
Y  0.2500  0.9899  0.5101
Y  0.0101  0.4899  0.7500
Y  0.5101  0.2500  0.9899
C  0.2500  0.2500  0.2500
C  0.7500  0.7500  0.7500
Cd  0.0000  0.0000  0.0000
Cd  0.5000  0.5000  0.5000

---

(13)
Compound: Y3CdC
Source: Alexandria
Functional: PBE
Structure: optimized geometry

Properties
formation energy = -1.67 eV per formula unit
space-group type = No. 221
DFT total energy = -6.24 eV/atom

Unit cell a=4.9455 b=4.9455 c=4.9455 alpha=90.00 beta=90.00 gamma=90.00
Site moments in Bohr magnetons follow the coordinates.
Fractional positions:
C  0.0000  0.0000  0.0000  -0.03
Y  0.0000  0.0000  0.5000  0.09
Y  0.0000  0.5000  0.0000  0.15
Y  0.5000  0.0000  0.0000  0.13
Cd  0.5000  0.5000  0.5000  0.07

---

(14)
Compound: Y3CdC
Source: Alexandria
Functional: PBE
Structure: optimized geometry

Properties
formation energy = 3.30 eV per formula unit
space-group type = No. 99
DFT total energy = -5.25 eV/atom

Unit cell a=4.6127 b=4.6127 c=8.4626 alpha=90.00 beta=90.00 gamma=90.00
Site moments in Bohr magnetons follow the coordinates.
Fractional positions:
Y  0.5000  0.0000  0.6548  0.07
Y  0.0000  0.0000  0.9973  0.39
Y  0.0000  0.5000  0.6548  0.05
Cd  0.0000  0.0000  0.3756  0.00
C  0.5000  0.5000  0.5813  0.00

---

(15)
Compound: YCdC2
Source: Alexandria
Functional: PBE
Structure: optimized geometry

Properties
formation energy = 5.02 eV per formula unit
space-group type = No. 122
DFT total energy = -5.20 eV/atom

Unit cell a=4.6434 b=4.6434 c=7.3593 alpha=71.61 beta=71.61 gamma=90.00
Site moments in Bohr magnetons follow the coordinates.
Fractional positions:
Cd  0.7500  0.2500  0.5000  0.02
Cd  0.0000  0.0000  0.0000  0.02
C  0.6638  0.1250  0.2500  0.19
C  0.3750  0.3362  0.7500  0.22
C  0.8750  0.9138  0.7500  0.21
C  0.0862  0.6250  0.2500  0.19
Y  0.5000  0.5000  0.0000  0.10
Y  0.2500  0.7500  0.5000  0.10

---

(16)
Compound: Y3CdC
Source: Alexandria
Functional: PBE
Structure: optimized geometry

Properties
formation energy = -0.05 eV per formula unit
space-group type = No. 227
DFT total energy = -5.92 eV/atom

Unit cell a=9.2801 b=9.2801 c=9.2801 alpha=60.00 beta=60.00 gamma=60.00
Fractional positions:
Cd  0.6250  0.1250  0.6250
Cd  0.1250  0.6250  0.6250
Cd  0.6250  0.6250  0.1250
Cd  0.6250  0.6250  0.6250
Y  0.1908  0.1908  0.8092
Y  0.4408  0.0592  0.4408
Y  0.8092  0.1908  0.8092
Y  0.8092  0.8092  0.1908
Y  0.1908  0.8092  0.8092
Y  0.0592  0.4408  0.4408
Y  0.1908  0.8092  0.1908
Y  0.8092  0.1908  0.1908
Y  0.0592  0.4408  0.0592
Y  0.4408  0.0592  0.0592
Y  0.4408  0.4408  0.0592
Y  0.0592  0.0592  0.4408
C  0.1250  0.1250  0.6250
C  0.1250  0.1250  0.1250
C  0.1250  0.6250  0.1250
C  0.6250  0.1250  0.1250

---

(17)
Compound: Y3CdC
Source: Alexandria
Functional: PBE
Structure: optimized geometry

Properties
formation energy = 3.03 eV per formula unit
space-group type = No. 160
DFT total energy = -5.30 eV/atom

Unit cell a=5.9686 b=5.9686 c=5.9686 alpha=90.46 beta=90.46 gamma=90.46
Fractional positions:
Y  0.8625  0.2925  0.8625
Y  0.2925  0.8625  0.8625
Y  0.8625  0.8625  0.2925
Cd  0.7910  0.7910  0.7910
C  0.0666  0.0666  0.0666

---

(18)
Compound: YCdC3
Source: Alexandria
Functional: PBE
Structure: optimized geometry

Properties
formation energy = 11.34 eV per formula unit
space-group type = No. 221
DFT total energy = -4.74 eV/atom

Unit cell a=4.2593 b=4.2593 c=4.2593 alpha=90.00 beta=90.00 gamma=90.00
Fractional positions:
C  0.5000  0.0000  0.0000
C  0.0000  0.5000  0.0000
C  0.0000  0.0000  0.5000
Y  0.5000  0.5000  0.5000
Cd  0.0000  0.0000  0.0000

---

(19)
Compound: YCd3C
Source: Alexandria
Functional: PBE
Structure: optimized geometry

Properties
formation energy = 9.72 eV per formula unit
space-group type = No. 221
DFT total energy = -1.74 eV/atom

Unit cell a=6.1349 b=6.1349 c=6.1349 alpha=90.00 beta=90.00 gamma=90.00
Site moments in Bohr magnetons follow the coordinates.
Fractional positions:
Cd  0.5000  0.0000  0.0000  0.02
Cd  0.0000  0.5000  0.0000  0.02
Cd  0.0000  0.0000  0.5000  0.01
Y  0.0000  0.0000  0.0000  0.08
C  0.5000  0.5000  0.5000  1.04

---

(20)
Compound: Y3CdC
Source: Alexandria
Functional: PBE
Structure: optimized geometry

Properties
formation energy = 3.93 eV per formula unit
space-group type = No. 63
DFT total energy = -5.12 eV/atom

Unit cell a=10.2551 b=10.2551 c=5.5432 alpha=90.00 beta=90.00 gamma=141.64
Fractional positions:
Y  0.9382  0.5810  0.7500
Y  0.0618  0.4190  0.2500
Y  0.5810  0.9382  0.2500
Y  0.0000  0.0000  0.5000
Y  0.0000  0.0000  0.0000
Y  0.4190  0.0618  0.7500
C  0.7488  0.2512  0.7500
C  0.2512  0.7488  0.2500
Cd  0.1390  0.8610  0.2500
Cd  0.8610  0.1390  0.7500

---

(21)
Compound: Y3CdC
Source: Alexandria
Functional: PBE
Structure: optimized geometry

Properties
formation energy = -0.82 eV per formula unit
space-group type = No. 12
DFT total energy = -6.07 eV/atom

Unit cell a=13.9504 b=8.8371 c=8.8371 alpha=104.35 beta=133.56 gamma=46.44
Fractional positions:
Y  0.9269  0.5786  0.7257
Y  0.4269  0.7743  0.9214
Y  0.0731  0.7257  0.5786
Y  0.4211  0.4216  0.5784
Y  0.9211  0.9216  0.0784
Y  0.5789  0.5784  0.4216
Y  0.0789  0.0784  0.9216
Y  0.4269  0.0786  0.2257
Y  0.9269  0.2743  0.4214
Y  0.0731  0.4214  0.2743
Y  0.5731  0.2257  0.0786
Y  0.5731  0.9214  0.7743
Cd  0.2500  0.9071  0.4071
Cd  0.7500  0.0929  0.5929
Cd  0.2500  0.5929  0.0929
Cd  0.7500  0.4071  0.9071
C  0.1653  0.1654  0.8346
C  0.8347  0.8346  0.1654
C  0.3347  0.3346  0.6654
C  0.6653  0.6654  0.3346